{"formula": "Ac6PrDy2", "functional": "GGA-PBE", "state": "optimized geometry", "e_form_ev_per_atom": 0.162, "magmom_total_mub_per_atom": 0.00, "lattice": [[8.032, -4.750, 0.000], [8.032, 4.750, 0.000], [-1.753, 0.000, 9.950]], "species": ["Ac", "Ac", "Ac", "Ac", "Ac", "Ac", "Ac", "Ac", "Ac", "Ac", "Ac", "Ac", "Pr", "Pr", "Dy", "Dy", "Dy", "Dy"], "frac_coords": [[0.084, 0.644, 0.482], [0.097, 0.702, 0.872], [0.298, 0.903, 0.628], [0.315, 0.445, 0.167], [0.356, 0.916, 0.018], [0.445, 0.315, 0.667], [0.555, 0.685, 0.333], [0.644, 0.084, 0.982], [0.685, 0.555, 0.833], [0.702, 0.097, 0.372], [0.903, 0.298, 0.128], [0.916, 0.356, 0.518], [0.101, 0.899, 0.250], [0.899, 0.101, 0.750], [0.141, 0.296, 0.852], [0.296, 0.141, 0.352], [0.704, 0.859, 0.648], [0.859, 0.704, 0.148]]}